ErMgCd6 | PBE | optimized geometry

The structure belongs to space group P4/mmm (No. 123); the cell edges are 4.579, 4.579 and 8.716 Å and the angles 90.00°, 90.00° and 90.00°. The inequivalent atoms are Er at (0.000, 0.000, 0.000), Mg at (0.000, 0.000, 0.500), Cd at (0.000, 0.500, 0.258), Cd at (0.500, 0.500, 0.000) and Cd at (0.500, 0.500, 0.500).

The calculation puts the formation energy at -157 meV/atom. The density of states at the Fermi level is 3.550 states/eV/f.u. The calculation puts the distance to the lowest polymorph of the same formula at 3.4 meV per atom.